(1)
Here is a relaxed structure of CeRhAu from Alexandria. Energies are from PBE.

a b c (Å): 4.6196 4.6196 4.6196
angles (deg): 60.00 60.00 60.00
With the nearest neighbours (Å) after each atom.
Atoms (fractional coordinates):
1 Rh 0.2500 0.2500 0.2500  4 Ce 2.83, 4 Au 2.83
2 Au 0.0000 0.0000 0.0000  4 Rh 2.83
3 Ce 0.5000 0.5000 0.5000  4 Rh 2.83

Output
Energy above the most stable polymorph in this dataset, eV per atom: 0.162

(2)
Here is a relaxed structure of TbGdW4 from Alexandria. Energies are from PBE.

a b c (Å): 5.5607 5.5607 5.5607
angles (deg): 60.00 60.00 60.00
With the nearest neighbours (Å) after each atom.
Atoms (fractional coordinates):
1 Tb 0.0000 0.0000 0.0000  12 W 3.26, 4 Gd 3.41
2 W 0.6249 0.6249 0.6249  6 W 2.78
3 W 0.6249 0.6249 0.1253  6 W 2.78
4 W 0.6249 0.1253 0.6249  6 W 2.78
5 W 0.1253 0.6249 0.6249  6 W 2.78
6 Gd 0.2500 0.2500 0.2500  12 W 3.26, 4 Tb 3.41

Output
Raw total energy, eV per atom: -11.5575

(3)
Here is a relaxed structure of Pm6Cd3Os from Alexandria. Energies are from PBE.

a b c (Å): 5.3961 9.2728 11.7587
angles (deg): 108.48 90.00 90.00
With the nearest neighbours (Å) after each atom.
Atoms (fractional coordinates):
1 Pm 0.2500 0.6845 0.6615  1 Os 2.91, 3 Cd 3.20-3.23
2 Pm 0.2500 0.2207 0.4997  3 Os 2.95-3.19, 1 Cd 3.24
3 Pm 0.7500 0.8756 0.8481  4 Cd 3.30-3.66, 6 Pm 3.41-3.57
4 Cd 0.2500 0.5099 0.3662  6 Pm 3.20-3.51, 2 Cd 3.40
5 Pm 0.7500 0.1475 0.6685  3 Os 2.93-3.18
6 Pm 0.2500 0.4639 0.0841  7 Cd 3.15-3.50, 1 Pm 3.48
7 Cd 0.7500 0.2303 0.0297  9 Pm 3.30-3.50, 1 Cd 3.33
8 Pm 0.7500 0.3155 0.3385  1 Os 2.91, 3 Cd 3.20-3.23
9 Cd 0.2500 0.7697 0.9703  9 Pm 3.30-3.50, 1 Cd 3.33
10 Cd 0.7500 0.4901 0.6338  6 Pm 3.20-3.51, 2 Cd 3.40
11 Cd 0.7500 0.5845 0.2182  6 Pm 3.15-3.44, 3 Cd 3.33-3.40
12 Pm 0.7500 0.8984 0.1497  1 Os 2.88
13 Pm 0.2500 0.1244 0.1519  4 Cd 3.30-3.66, 6 Pm 3.41-3.57
14 Cd 0.2500 0.4155 0.7818  6 Pm 3.15-3.44, 3 Cd 3.33-3.40
15 Pm 0.2500 0.1016 0.8503  1 Os 2.88
16 Os 0.2500 0.9607 0.5938  8 Pm 2.88-3.19
17 Pm 0.2500 0.8525 0.3315  3 Os 2.93-3.18
18 Os 0.7500 0.0393 0.4062  8 Pm 2.88-3.19
19 Pm 0.7500 0.5361 0.9159  7 Cd 3.15-3.50, 1 Pm 3.48
20 Pm 0.7500 0.7793 0.5003  3 Os 2.95-3.19, 1 Cd 3.24

Output
Raw total energy, eV per atom: -4.4363

(4)
Here is a relaxed structure of CaTlHPb2 from Alexandria. Energies are from PBE.

a b c (Å): 7.0698 4.1752 7.0698
angles (deg): 90.00 90.00 90.00
With the nearest neighbours (Å) after each atom.
Atoms (fractional coordinates):
1 Ca 0.5000 0.5000 0.5000  8 Pb 4.11, 2 Ca 4.18
2 Pb 0.5000 0.0000 0.0000  2 Tl 3.53
3 H 0.0000 0.5000 0.0000  2 Tl 2.09
4 Tl 0.0000 0.0000 0.0000  2 H 2.09
5 Pb 0.0000 0.0000 0.5000  2 Tl 3.53

Output
Energy above the most stable polymorph in this dataset, eV per atom: 0.539

(5)
Here is a relaxed structure of LaTm4Te5 from Alexandria. Energies are from PBE.

a b c (Å): 4.3244 6.1709 11.6194
angles (deg): 105.40 100.72 90.00
With the nearest neighbours (Å) after each atom.
Atoms (fractional coordinates):
1 Tm 0.7945 0.7945 0.5889  6 Te 3.03-3.09
2 Te 0.8037 0.3037 0.6075  6 Tm 3.06-3.09
3 La 0.0000 0.0000 0.0000  6 Te 3.09-3.23
4 Tm 0.4034 0.4034 0.8068  6 Te 3.03-3.10
5 Te 0.3907 0.8907 0.7814  4 Tm 3.03-3.10, 2 La 3.23
6 Tm 0.5966 0.5966 0.1932  6 Te 3.03-3.10
7 Te 0.1963 0.6963 0.3925  6 Tm 3.06-3.09
8 Te 0.6093 0.1093 0.2186  4 Tm 3.03-3.10, 2 La 3.23
9 Te 0.0000 0.5000 0.0000  4 Tm 3.03, 2 La 3.09
10 Tm 0.2055 0.2055 0.4111  6 Te 3.03-3.09

Output
E_form (uncorrected), kJ per mole of atoms: -119.85

(6)
Here is a relaxed structure of Ac3In3Pt2 from Alexandria. Energies are from PBE.

a b c (Å): 4.6670 6.1913 17.1039
angles (deg): 90.00 90.00 112.14
With the nearest neighbours (Å) after each atom.
Atoms (fractional coordinates):
1 In 0.6269 0.2537 0.7500  2 Pt 2.85
2 In 0.3464 0.6927 0.9658  3 Pt 2.84-2.91
3 Ac 0.0594 0.1188 0.8913  3 Pt 3.27-3.40, 7 In 3.45-3.61
4 Pt 0.7743 0.5487 0.6157  4 In 2.84-2.91
5 Ac 0.9406 0.8812 0.3913  3 Pt 3.27-3.40, 7 In 3.45-3.61
6 Ac 0.0594 0.1188 0.6087  3 Pt 3.27-3.40, 7 In 3.45-3.61
7 Pt 0.2257 0.4513 0.3843  4 In 2.84-2.91
8 In 0.3464 0.6927 0.5342  3 Pt 2.84-2.91
9 Ac 0.3350 0.6701 0.7500  5 In 3.34-3.69, 4 Pt 3.35
10 In 0.6536 0.3073 0.4658  3 Pt 2.84-2.91
11 In 0.3731 0.7463 0.2500  2 Pt 2.85
12 Ac 0.6650 0.3299 0.2500  5 In 3.34-3.69, 4 Pt 3.35
13 Pt 0.7743 0.5487 0.8843  4 In 2.84-2.91
14 Pt 0.2257 0.4513 0.1157  4 In 2.84-2.91
15 In 0.6536 0.3073 0.0342  3 Pt 2.84-2.91
16 Ac 0.9406 0.8812 0.1087  3 Pt 3.27-3.40, 7 In 3.45-3.61

Output
Raw total energy, eV per atom: -4.8277